The following is a GGA-PBE calculation of Pm4Nd3Co4 after structural relaxation, from Alexandria.

a = 3.7397 Å, b = 9.0571 Å, c = 15.8173 Å
α = 90.00°, β = 90.00°, γ = 90.00°
Closest atoms and distances in Å follow each position.
Space group Immm (No. 71)
Inequivalent atoms, fractional coordinates:
Pm  0.0000  0.1860  0.1653 x8  3 Co 2.73-2.85
Nd  0.0000  0.0000  0.3986 x4  6 Co 3.01-3.21, 1 Nd 3.21
Nd  0.0000  0.5000  0.5000 x2  4 Co 3.10
Co  0.0000  0.2730  0.0000 x4  2 Pm 2.73
Co  0.0000  0.5000  0.2507 x4  6 Pm 2.85-3.15, 2 Nd 3.01

Crystal system: orthorhombic
E_form in kJ per mole of atoms: 4.1



The following is a GGA-PBE calculation of Pm2Nd5Co4 after structural relaxation, from Alexandria.

a = 23.8682 Å, b = 3.6352 Å, c = 6.9742 Å
α = 90.00°, β = 93.85°, γ = 90.00°
Closest atoms and distances in Å follow each position.
Space group C2/m (No. 12)
Inequivalent atoms, fractional coordinates:
Pm  0.0812  0.0000  0.1358 x4  2 Co 2.63-2.68
Nd  0.0000  0.5000  0.5000 x2  4 Co 2.78
Nd  0.1343  0.0000  0.6802 x4  3 Co 2.71-2.81
Nd  0.2282  0.0000  0.2058 x4  3 Co 2.78-2.88
Co  0.0277  0.0000  0.7931 x4  2 Pm 2.63-2.68, 3 Nd 2.71-2.78
Co  0.1667  0.5000  0.9749 x4  5 Nd 2.78-2.88, 2 Pm 3.01

Crystal system: monoclinic
E_form in kJ per mole of atoms: 16.4



The following is a GGA-PBE calculation of Pm2NdCo9 after structural relaxation, from Alexandria.

a = 5.0454 Å, b = 5.0454 Å, c = 24.7158 Å
α = 90.00°, β = 90.00°, γ = 120.00°
Closest atoms and distances in Å follow each position.
Space group R-3m (No. 166, hexagonal axes)
Inequivalent atoms, fractional coordinates:
Pm  0.0000  0.0000  0.1400 x6  12 Co 2.92-3.16, 3 Pm 3.20
Nd  0.0000  0.0000  0.0000 x3  18 Co 2.91-3.21
Co  0.0000  0.0000  0.3339 x6  6 Co 2.45-2.47
Co  0.0000  0.0000  0.5000 x3  6 Co 2.59
Co  0.0008  0.5004  0.0802 x18  7 Co 2.45-2.59

Crystal system: trigonal
E_form in kJ per mole of atoms: -6.3